First-principles (GGA+U) data for SrFe2Ni2O7 after structural relaxation, as listed in the Alexandria database.

a = 4.0262 Å, b = 4.0262 Å, c = 16.3638 Å
α = 90.00°, β = 90.00°, γ = 90.00°
Last column: nearest neighbours and their distance in Å.
Space group I4/mmm (No. 139)
Inequivalent atoms, fractional coordinates:
Sr: 0.0000 0.0000 0.0000 (multiplicity 2)  12 O 2.81-2.85
Fe: 0.0000 0.0000 0.3844 (multiplicity 4)  6 O 1.89-2.01
Ni: 0.0000 0.5000 0.2500 (multiplicity 4)  6 O 2.02-2.13
O: 0.0000 0.0000 0.2630 (multiplicity 4)  1 Fe 1.99, 4 Ni 2.02
O: 0.0000 0.0000 0.5000 (multiplicity 2)  2 Fe 1.89
O: 0.0000 0.5000 0.1200 (multiplicity 8)  2 Fe 2.01, 1 Ni 2.13

Results
Volume, Å³ per cell: 265.3
Electronic total energy, eV/atom: -5.7938